Record 1
# KRuN3 (GGA-PBE, relaxed)
# Energy   -16.2 eV/cell
# Uncorrected formation energy   3.8292 eV/atom
data_KRuN3
_symmetry_space_group_name_H-M 'P m -3 m'
_symmetry_Int_Tables_number 221
_symmetry_space_group_name_Hall '-P 4 2 3'
_cell_length_a 4.017
_cell_length_b 4.017
_cell_length_c 4.017
_cell_angle_alpha 90.00
_cell_angle_beta 90.00
_cell_angle_gamma 90.00
loop_
_atom_site_label
_atom_site_type_symbol
_atom_site_fract_x
_atom_site_fract_y
_atom_site_fract_z
K1 K 0.000 0.000 0.000
Ru1 Ru 0.500 0.500 0.500
N1 N 0.000 0.000 0.500

Record 2
# KRu2N2 (GGA-PBE, relaxed)
# Energy   -68.1 eV/cell
# Uncorrected formation energy   0.4486 eV/atom
# Energy above the lowest structure with this stoichiometry   0 meV/atom
data_KRu2N2
_symmetry_space_group_name_H-M 'I 4/m m m'
_symmetry_Int_Tables_number 139
_symmetry_space_group_name_Hall '-I 4 2'
_cell_length_a 4.020
_cell_length_b 4.020
_cell_length_c 12.145
_cell_angle_alpha 90.00
_cell_angle_beta 90.00
_cell_angle_gamma 90.00
loop_
_atom_site_label
_atom_site_type_symbol
_atom_site_fract_x
_atom_site_fract_y
_atom_site_fract_z
K1 K 0.000 0.000 0.000
Ru1 Ru 0.000 0.000 0.256
N1 N 0.000 0.500 0.250

Record 3
# KRu2N2 (GGA-PBE, relaxed)
# Energy   -60.2 eV/cell
# Uncorrected formation energy   1.2362 eV/atom
# Energy above the lowest structure with this stoichiometry   788 meV/atom
data_KRu2N2
_symmetry_space_group_name_H-M 'P 4/m b m'
_symmetry_Int_Tables_number 127
_symmetry_space_group_name_Hall '-P 4 2ab'
_cell_length_a 7.500
_cell_length_b 7.500
_cell_length_c 2.694
_cell_angle_alpha 90.00
_cell_angle_beta 90.00
_cell_angle_gamma 90.00
loop_
_atom_site_label
_atom_site_type_symbol
_atom_site_fract_x
_atom_site_fract_y
_atom_site_fract_z
K1 K 0.000 0.000 0.000
Ru1 Ru 0.113 0.387 0.000
N1 N 0.112 0.612 0.500

Record 4
# K2RuN2 (GGA-PBE, relaxed)
# Energy   -111.9 eV/cell
# Uncorrected formation energy   0.0311 eV/atom
data_K2RuN2
_symmetry_space_group_name_H-M 'C m c 21'
_symmetry_Int_Tables_number 36
_cell_length_a 3.432
_cell_length_b 19.335
_cell_length_c 6.128
_cell_angle_alpha 90.00
_cell_angle_beta 90.00
_cell_angle_gamma 90.00
loop_
_symmetry_equiv_pos_as_xyz
'x,y,z'
'-x,-y,z+1/2'
'-x,y,z'
'x,-y,z+1/2'
'x+1/2,y+1/2,z'
'-x+1/2,-y+1/2,z+1/2'
'-x+1/2,y+1/2,z'
'x+1/2,-y+1/2,z+1/2'
loop_
_atom_site_label
_atom_site_type_symbol
_atom_site_fract_x
_atom_site_fract_y
_atom_site_fract_z
K1 K 0.000 0.028 0.000
K2 K 0.000 0.196 0.148
Ru1 Ru 0.000 0.371 0.084
N1 N 0.000 0.151 0.700
N2 N 0.000 0.413 0.834

Record 5
# KRu3N (GGA-PBE, relaxed)
# Energy   -32.7 eV/cell
# Uncorrected formation energy   0.9200 eV/atom
# Energy above the lowest structure with this stoichiometry   0 meV/atom
data_KRu3N
_symmetry_space_group_name_H-M 'P m -3 m'
_symmetry_Int_Tables_number 221
_symmetry_space_group_name_Hall '-P 4 2 3'
_cell_length_a 4.195
_cell_length_b 4.195
_cell_length_c 4.195
_cell_angle_alpha 90.00
_cell_angle_beta 90.00
_cell_angle_gamma 90.00
loop_
_atom_site_label
_atom_site_type_symbol
_atom_site_fract_x
_atom_site_fract_y
_atom_site_fract_z
K1 K 0.000 0.000 0.000
Ru1 Ru 0.000 0.500 0.500
N1 N 0.500 0.500 0.500

Record 6
# KRu3N (GGA-PBE, relaxed)
# Energy   -17.1 eV/cell
# Uncorrected formation energy   4.0236 eV/atom
# Energy above the lowest structure with this stoichiometry   3104 meV/atom
data_KRu3N
_symmetry_space_group_name_H-M 'P m -3 m'
_symmetry_Int_Tables_number 221
_symmetry_space_group_name_Hall '-P 4 2 3'
_cell_length_a 4.751
_cell_length_b 4.751
_cell_length_c 4.751
_cell_angle_alpha 90.00
_cell_angle_beta 90.00
_cell_angle_gamma 90.00
loop_
_atom_site_label
_atom_site_type_symbol
_atom_site_fract_x
_atom_site_fract_y
_atom_site_fract_z
K1 K 0.000 0.000 0.000
Ru1 Ru 0.000 0.000 0.500
N1 N 0.500 0.500 0.500

Record 7
# KRu2N (GGA-PBE, relaxed)
# Energy   -101.7 eV/cell
# Uncorrected formation energy   0.6346 eV/atom
data_KRu2N
_symmetry_space_group_name_H-M 'I -4 2 d'
_symmetry_Int_Tables_number 122
_symmetry_space_group_name_Hall 'I -4 2bw'
_cell_length_a 6.141
_cell_length_b 6.141
_cell_length_c 8.703
_cell_angle_alpha 90.00
_cell_angle_beta 90.00
_cell_angle_gamma 90.00
loop_
_atom_site_label
_atom_site_type_symbol
_atom_site_fract_x
_atom_site_fract_y
_atom_site_fract_z
K1 K 0.000 0.000 0.000
Ru1 Ru 0.042 0.250 0.625
N1 N 0.000 0.000 0.500

Record 8
# KRuN (GGA-PBE, relaxed)
# Energy   -34.9 eV/cell
# Uncorrected formation energy   0.4237 eV/atom
# Energy above the lowest structure with this stoichiometry   251 meV/atom
data_KRuN
_symmetry_space_group_name_H-M 'P 42 m c'
_symmetry_Int_Tables_number 105
_cell_length_a 3.511
_cell_length_b 3.511
_cell_length_c 10.425
_cell_angle_alpha 90.00
_cell_angle_beta 90.00
_cell_angle_gamma 90.00
loop_
_symmetry_equiv_pos_as_xyz
'x,y,z'
'-y,x,z+1/2'
'-x,-y,z'
'y,-x,z+1/2'
'-x,y,z'
'y,x,z+1/2'
'x,-y,z'
'-y,-x,z+1/2'
loop_
_atom_site_label
_atom_site_type_symbol
_atom_site_fract_x
_atom_site_fract_y
_atom_site_fract_z
K1 K 0.000 0.000 0.000
Ru1 Ru 0.500 0.500 0.254
N1 N 0.000 0.500 0.210

Record 9
# KRuN3 (GGA-PBE, relaxed)
# Energy   -30.8 eV/cell
# Uncorrected formation energy   0.9090 eV/atom
data_KRuN3
_symmetry_space_group_name_H-M 'P m -3 m'
_symmetry_Int_Tables_number 221
_symmetry_space_group_name_Hall '-P 4 2 3'
_cell_length_a 3.927
_cell_length_b 3.927
_cell_length_c 3.927
_cell_angle_alpha 90.00
_cell_angle_beta 90.00
_cell_angle_gamma 90.00
loop_
_atom_site_label
_atom_site_type_symbol
_atom_site_fract_x
_atom_site_fract_y
_atom_site_fract_z
K1 K 0.000 0.000 0.000
Ru1 Ru 0.500 0.500 0.500
N1 N 0.000 0.500 0.500

Record 10
# KRuS2N (GGA-PBE, relaxed)
# Energy   -13.4 eV/cell
# Uncorrected formation energy   2.7183 eV/atom
# Energy above the lowest structure with this stoichiometry   2648 meV/atom
data_KRuS2N
_symmetry_space_group_name_H-M 'P 4/m m m'
_symmetry_Int_Tables_number 123
_symmetry_space_group_name_Hall '-P 4 2'
_cell_length_a 5.214
_cell_length_b 5.214
_cell_length_c 4.457
_cell_angle_alpha 90.00
_cell_angle_beta 90.00
_cell_angle_gamma 90.00
loop_
_atom_site_label
_atom_site_type_symbol
_atom_site_fract_x
_atom_site_fract_y
_atom_site_fract_z
K1 K 0.000 0.000 0.000
Ru1 Ru 0.500 0.500 0.500
S1 S 0.000 0.500 0.000
N1 N 0.000 0.000 0.500

Record 11
# KRuS2N (GGA-PBE, relaxed)
# Energy   -26.6 eV/cell
# Uncorrected formation energy   0.0704 eV/atom
# Energy above the lowest structure with this stoichiometry   0 meV/atom
data_KRuS2N
_symmetry_space_group_name_H-M 'P 4/m m m'
_symmetry_Int_Tables_number 123
_symmetry_space_group_name_Hall '-P 4 2'
_cell_length_a 5.010
_cell_length_b 5.010
_cell_length_c 3.727
_cell_angle_alpha 90.00
_cell_angle_beta 90.00
_cell_angle_gamma 90.00
loop_
_atom_site_label
_atom_site_type_symbol
_atom_site_fract_x
_atom_site_fract_y
_atom_site_fract_z
K1 K 0.000 0.000 0.000
Ru1 Ru 0.500 0.500 0.500
S1 S 0.000 0.500 0.500
N1 N 0.500 0.500 0.000

Record 12
# K2ScRuN (GGA-PBE, relaxed)
# Energy   -20.8 eV/cell
# Uncorrected formation energy   1.0557 eV/atom
data_K2ScRuN
_symmetry_space_group_name_H-M 'P 4/m m m'
_symmetry_Int_Tables_number 123
_symmetry_space_group_name_Hall '-P 4 2'
_cell_length_a 6.842
_cell_length_b 6.842
_cell_length_c 3.845
_cell_angle_alpha 90.00
_cell_angle_beta 90.00
_cell_angle_gamma 90.00
loop_
_atom_site_label
_atom_site_type_symbol
_atom_site_fract_x
_atom_site_fract_y
_atom_site_fract_z
K1 K 0.000 0.500 0.000
Sc1 Sc 0.000 0.000 0.000
Ru1 Ru 0.500 0.500 0.500
N1 N 0.000 0.000 0.500